# 1
GeSb2TeAu: optimized geometry, PBEsol.

Output
calculated volume = 143 Å³/f.u.
crystal system = tetragonal
raw formation energy = 0.84 eV/atom
N(E_F) = 3.84 states/eV/f.u.
spin magnetization = 0.00 μB/atom

Cell lengths 5.217, 5.217, 5.252 Å; angles 90.00, 90.00, 90.00 degrees
Atoms (fractional coordinates):
Ge1 0.000 0.000 0.000
Sb1 0.000 0.500 0.000
Sb2 0.500 0.000 0.000
Te1 0.000 0.000 0.500
Au1 0.500 0.500 0.500


# 2
Sc2Ge2Au: optimized geometry, PBEsol.

Output
calculated volume = 90 Å³/f.u.
crystal system = tetragonal
ΔE_f = -0.809 eV per atom
N(E_F) = 2.50 states/eV/f.u.
spin magnetization = 0.00 μB/atom

Cell lengths 6.705, 6.705, 4.002 Å; angles 90.00, 90.00, 90.00 degrees
Atoms (fractional coordinates):
Sc1 0.172 0.328 0.000
Sc2 0.328 0.828 0.000
Sc3 0.672 0.172 0.000
Sc4 0.828 0.672 0.000
Ge1 0.131 0.631 0.500
Ge2 0.369 0.131 0.500
Ge3 0.631 0.869 0.500
Ge4 0.869 0.369 0.500
Au1 0.000 0.000 0.500
Au2 0.500 0.500 0.500


# 3
ScGeAu: optimized geometry, PBEsol.

Output
calculated volume = 55 Å³/f.u.
crystal system = hexagonal
ΔE_f = -0.792 eV per atom
N(E_F) = 0.43 states/eV/f.u.
spin magnetization = 0.00 μB/atom

Cell lengths 4.309, 4.309, 6.779 Å; angles 90.00, 90.00, 120.00 degrees
Atoms (fractional coordinates):
Sc1 0.000 0.000 0.000
Sc2 0.000 0.000 0.500
Ge1 0.333 0.667 0.296
Ge2 0.667 0.333 0.796
Au1 0.333 0.667 0.697
Au2 0.667 0.333 0.197


# 4
ScTi2GeAu: optimized geometry, PBEsol.

Output
calculated volume = 104 Å³/f.u.
crystal system = tetragonal
ΔE_f = 0.222 eV per atom
N(E_F) = 7.47 states/eV/f.u.
spin magnetization = 0.00 μB/atom

Cell lengths 4.639, 4.639, 4.854 Å; angles 90.00, 90.00, 90.00 degrees
Atoms (fractional coordinates):
Sc1 0.000 0.000 0.000
Ti1 0.000 0.500 0.500
Ti2 0.500 0.000 0.500
Ge1 0.000 0.000 0.500
Au1 0.500 0.500 0.000


Q: Which value of spin magnetization does entry 1 give?
A: 0.00 μB/atom